No. 1
The following is a meta-GGA SCAN calculation of Rb2FeTePd at its PBEsol-relaxed geometry, from Alexandria.

Lattice parameters (Å, degrees): 6.196 6.196 4.652 90.00 90.00 90.00
Atoms (fractional coordinates):
Rb  0.000  0.500  0.000
Rb  0.500  0.000  0.000
Fe  0.000  0.000  0.500
Te  0.500  0.500  0.500
Pd  0.000  0.000  0.000

Calculated values
The calculation puts the density of states at the Fermi level at 0.438 states/eV/atom. The total energy is -0.94414 hartree per atom. For the uncorrected formation energy, the calculation gives 0.24 eV per atom.

***

No. 2
The following is a meta-GGA SCAN calculation of NbP3Ir at its PBEsol-relaxed geometry, from Alexandria.

Lattice parameters (Å, degrees): 4.661 4.661 4.661 90.00 90.00 90.00
Atoms (fractional coordinates):
Nb  0.000  0.000  0.000
P  0.000  0.000  0.500
P  0.000  0.500  0.000
P  0.500  0.000  0.000
Ir  0.500  0.500  0.500

Calculated values
The calculation puts the density of states at the Fermi level at 0.702 states/eV/atom. The total energy is -0.94806 hartree per atom.

***

No. 3
The following is a meta-GGA SCAN calculation of TaRuCl at its PBEsol-relaxed geometry, from Alexandria.

Lattice parameters (Å, degrees): 4.203 4.203 2.934 90.00 90.00 120.00
Atoms (fractional coordinates):
Ta  0.000  0.000  0.000
Ru  0.333  0.667  0.472
Cl  0.667  0.333  0.124

Calculated values
The calculation puts the density of states at the Fermi level at 0.331 states/eV/atom. The total energy is -1.33439 hartree per atom. For the uncorrected formation energy, the calculation gives 0.15 eV per atom.

***

No. 4
The following is a meta-GGA SCAN calculation of CuSiRu3 at its PBEsol-relaxed geometry, from Alexandria.

Lattice parameters (Å, degrees): 4.299 4.299 4.299 90.00 90.00 90.00
Atoms (fractional coordinates):
Cu  0.000  0.000  0.000
Si  0.500  0.500  0.500
Ru  0.000  0.500  0.500
Ru  0.500  0.000  0.500
Ru  0.500  0.500  0.000

Calculated values
The calculation puts the density of states at the Fermi level at 0.948 states/eV/atom. The total energy is -0.91941 hartree per atom. For the uncorrected formation energy, the calculation gives 0.92 eV per atom.

***

No. 5
The following is a meta-GGA SCAN calculation of In2OsW at its PBEsol-relaxed geometry, from Alexandria.

Lattice parameters (Å, degrees): 5.270 5.270 4.852 105.66 105.66 32.98
Atoms (fractional coordinates):
In  0.000  0.000  0.000
In  0.218  0.218  0.677
Os  0.754  0.754  0.202
W  0.461  0.461  0.474

Calculated values
The calculation puts the density of states at the Fermi level at 0.407 states/eV/atom. The total energy is -1.89413 hartree per atom. For the energy relative to the lowest polymorph listed for this composition, the calculation gives 7 meV/atom.

***

No. 6
The following is a meta-GGA SCAN calculation of BaSbTe4 at its PBEsol-relaxed geometry, from Alexandria.

Lattice parameters (Å, degrees): 6.389 6.389 6.389 60.00 60.00 60.00
Atoms (fractional coordinates):
Ba  0.000  0.000  0.000
Sb  0.750  0.750  0.750
Te  0.376  0.376  0.376
Te  0.376  0.376  0.873
Te  0.376  0.873  0.376
Te  0.873  0.376  0.376

Calculated values
The calculation puts the density of states at the Fermi level at 0.537 states/eV/atom. The total energy is -1.38924 hartree per atom. For the uncorrected formation energy, the calculation gives -0.17 eV per atom.

***

No. 7
The following is a meta-GGA SCAN calculation of Ta2MoPb at its PBEsol-relaxed geometry, from Alexandria.

Lattice parameters (Å, degrees): 5.412 5.412 4.600 115.06 115.06 36.97
Atoms (fractional coordinates):
Ta  0.000  0.000  0.000
Ta  0.745  0.745  0.245
Mo  0.271  0.271  0.770
Pb  0.512  0.512  0.512

Calculated values
The calculation puts the density of states at the Fermi level at 0.362 states/eV/atom. The total energy is -2.23114 hartree per atom.

***

No. 8
The following is a meta-GGA SCAN calculation of LiMg at its PBEsol-relaxed geometry, from Alexandria.

Lattice parameters (Å, degrees): 3.008 3.008 4.811 90.00 90.00 110.03
Atoms (fractional coordinates):
Li  0.000  0.000  0.000
Mg  0.500  0.500  0.500

Calculated values
The calculation puts the density of states at the Fermi level at 0.384 states/eV/atom. The total energy is -0.13635 hartree per atom.